No. 1
# CsVSiPd2 (GGA-PBE, optimized geometry)
# Total moment in μB/cell: 3.22
# Energy relative to the elements, uncorrected in eV/atom: 0.34
data_CsVSiPd2
_chemical_formula_sum 'Cs1 V1 Si1 Pd2'
_space_group_name_H-M_alt 'P 4/m m m'
_space_group_IT_number 123
_space_group_name_Hall '-P 4 2'
_cell_length_a 4.8141
_cell_length_b 4.8141
_cell_length_c 4.9171
_cell_angle_alpha 90.00
_cell_angle_beta 90.00
_cell_angle_gamma 90.00
loop_
_atom_site_label
_atom_site_type_symbol
_atom_site_fract_x
_atom_site_fract_y
_atom_site_fract_z
Cs1 Cs 0.0000 0.0000 0.0000
V1 V 0.5000 0.5000 0.0000
Si1 Si 0.5000 0.5000 0.5000
Pd1 Pd 0.0000 0.5000 0.5000

No. 2
# CsSiPd2W (GGA-PBE, optimized geometry)
# Total moment in μB/cell: 4.26
# Energy relative to the elements, uncorrected in eV/atom: 1.52
data_CsSiPd2W
_chemical_formula_sum 'Cs1 Si1 Pd2 W1'
_space_group_name_H-M_alt 'P 4/m m m'
_space_group_IT_number 123
_space_group_name_Hall '-P 4 2'
_cell_length_a 4.6800
_cell_length_b 4.6800
_cell_length_c 5.8795
_cell_angle_alpha 90.00
_cell_angle_beta 90.00
_cell_angle_gamma 90.00
loop_
_atom_site_label
_atom_site_type_symbol
_atom_site_fract_x
_atom_site_fract_y
_atom_site_fract_z
Cs1 Cs 0.0000 0.0000 0.0000
Si1 Si 0.0000 0.0000 0.5000
Pd1 Pd 0.0000 0.5000 0.5000
W1 W 0.5000 0.5000 0.0000

No. 3
# CsZn2SiPd (GGA-PBE, optimized geometry)
# Total moment in μB/cell: 1.97
# Energy relative to the elements, uncorrected in eV/atom: 1.72
data_CsZn2SiPd
_chemical_formula_sum 'Cs1 Zn2 Si1 Pd1'
_space_group_name_H-M_alt 'P 4/m m m'
_space_group_IT_number 123
_space_group_name_Hall '-P 4 2'
_cell_length_a 6.2816
_cell_length_b 6.2816
_cell_length_c 6.1978
_cell_angle_alpha 90.00
_cell_angle_beta 90.00
_cell_angle_gamma 90.00
loop_
_atom_site_label
_atom_site_type_symbol
_atom_site_fract_x
_atom_site_fract_y
_atom_site_fract_z
Cs1 Cs 0.0000 0.0000 0.0000
Zn1 Zn 0.0000 0.5000 0.0000
Si1 Si 0.0000 0.0000 0.5000
Pd1 Pd 0.5000 0.5000 0.5000

No. 4
# CsZrSi2Pd (GGA-PBE, optimized geometry)
# Total moment in μB/cell: 0.00
# Energy relative to the elements, uncorrected in eV/atom: 2.01
data_CsZrSi2Pd
_chemical_formula_sum 'Cs1 Zr1 Si2 Pd1'
_space_group_name_H-M_alt 'P 4/m m m'
_space_group_IT_number 123
_space_group_name_Hall '-P 4 2'
_cell_length_a 5.3151
_cell_length_b 5.3151
_cell_length_c 4.9852
_cell_angle_alpha 90.00
_cell_angle_beta 90.00
_cell_angle_gamma 90.00
loop_
_atom_site_label
_atom_site_type_symbol
_atom_site_fract_x
_atom_site_fract_y
_atom_site_fract_z
Cs1 Cs 0.0000 0.0000 0.0000
Zr1 Zr 0.5000 0.5000 0.5000
Si1 Si 0.0000 0.5000 0.0000
Pd1 Pd 0.0000 0.0000 0.5000

No. 5
# CsSn4Pd9 (GGA-PBE, optimized geometry)
# ΔH_f (0 K) in eV per atom: -0.419
# Total moment in μB/cell: 0.00
data_CsSn4Pd9
_chemical_formula_sum 'Cs4 Sn16 Pd36'
_space_group_name_H-M_alt 'I 4/m c m'
_space_group_IT_number 140
_space_group_name_Hall '-I 4 2c'
_cell_length_a 9.0731
_cell_length_b 9.0731
_cell_length_c 13.4542
_cell_angle_alpha 90.00
_cell_angle_beta 90.00
_cell_angle_gamma 90.00
loop_
_atom_site_label
_atom_site_type_symbol
_atom_site_fract_x
_atom_site_fract_y
_atom_site_fract_z
Cs1 Cs 0.0000 0.0000 0.2500
Sn1 Sn 0.1742 0.3258 0.1204
Pd1 Pd 0.0000 0.5000 0.0000
Pd2 Pd 0.0697 0.2044 0.5000
Pd3 Pd 0.1230 0.3770 0.3179

No. 6
# Cs3Sn4Pd (GGA-PBE, optimized geometry)
# ΔH_f (0 K) in eV per atom: -0.317
# Total moment in μB/cell: 0.00
data_Cs3Sn4Pd
_chemical_formula_sum 'Cs6 Sn8 Pd2'
_space_group_name_H-M_alt 'P m m n'
_space_group_IT_number 59
_cell_length_a 7.7936
_cell_length_b 14.4107
_cell_length_c 6.2248
_cell_angle_alpha 90.00
_cell_angle_beta 90.00
_cell_angle_gamma 90.00
loop_
_space_group_symop_operation_xyz
'x,y,z'
'-x,-y,-z'
'-x+1/2,-y+1/2,z'
'x+1/2,y+1/2,-z'
'x+1/2,-y,-z'
'-x+1/2,y,z'
'-x,y+1/2,-z'
'x,-y+1/2,z'
loop_
_atom_site_label
_atom_site_type_symbol
_atom_site_fract_x
_atom_site_fract_y
_atom_site_fract_z
Cs1 Cs 0.2500 0.0165 0.1535
Cs2 Cs 0.2500 0.2500 0.5494
Sn1 Sn 0.0439 0.7500 0.9579
Sn2 Sn 0.2500 0.6358 0.6534
Pd1 Pd 0.2500 0.7500 0.3108

- total moment of number 6 (Cs3Sn4Pd)?
  0.00 μB/cell

- Number 1 is which compound?
  CsVSiPd2